# SrNiSe2, relaxed, DFT PBE
data_SrNiSe2
_chemical_formula_sum 'Sr3 Ni3 Se6'
_symmetry_space_group_name_H-M 'R -3 m'
_symmetry_Int_Tables_number 166
_symmetry_space_group_name_Hall '-R 3 2"'
_cell_length_a 3.7741
_cell_length_b 3.7741
_cell_length_c 25.3663
_cell_angle_alpha 90.00
_cell_angle_beta 90.00
_cell_angle_gamma 120.00
loop_
_atom_site_label
_atom_site_type_symbol
_atom_site_fract_x
_atom_site_fract_y
_atom_site_fract_z
Sr1 Sr 0.0000 0.0000 0.0000
Ni1 Ni 0.0000 0.0000 0.5000
Se1 Se 0.0000 0.0000 0.1195
# **DOS(E_F)**: 0.538 states/eV/atom
# **Theoretical density**: 4.84 Mg/m³
# **E_form (uncorrected)**: -317.9 meV/atom
# **E above lowest polymorph**: 0.685 eV per atom